Entry 1:
The following is a PBE calculation of a relaxed Ho10TmTh4 crystal, from Alexandria via LeMat-Bulk.

Unit cell a=11.386 b=8.901 c=8.901 alpha=65.86 beta=50.24 gamma=50.24
Element x y z (fractional)
Ho: 0.390 0.893 0.654
Ho: 0.044 0.346 0.893
Ho: 0.250 0.500 0.500
Ho: 0.282 0.654 0.107
Ho: 0.936 0.107 0.346
Ho: 0.750 0.500 0.500
Ho: 0.064 0.893 0.654
Ho: 0.956 0.654 0.107
Ho: 0.718 0.346 0.893
Ho: 0.610 0.107 0.346
Th: 0.572 0.589 0.266
Th: 0.428 0.411 0.734
Th: 0.838 0.734 0.589
Th: 0.162 0.266 0.411
Tm: 0.000 0.000 0.000

## Properties
energy relative to the elements = 0.49 eV per atom
crystal system = tetragonal
symmetry = No. 87



Entry 2:
The following is a PBE calculation of a relaxed MnGaMo2 crystal, from Alexandria via LeMat-Bulk.

Unit cell a=3.591 b=3.591 c=6.202 alpha=73.17 beta=73.17 gamma=60.00
Element x y z (fractional)
Ga: 0.500 0.500 0.500
Mo: 0.267 0.267 0.199
Mo: 0.733 0.733 0.801
Mn: 0.000 0.000 0.000

## Properties
energy relative to the elements = 0.59 eV per atom
crystal system = trigonal
symmetry = No. 166



Entry 3:
The following is a PBE calculation of a relaxed Er3GeP2Ir9 crystal, from Alexandria via LeMat-Bulk.

Unit cell a=5.617 b=5.617 c=10.233 alpha=90.00 beta=90.00 gamma=120.00
Element x y z (fractional)
Ir: 0.160 0.840 0.309
Ir: 0.679 0.840 0.309
Ir: 0.840 0.679 0.691
Ir: 0.160 0.321 0.309
Ir: 0.840 0.160 0.691
Ir: 0.321 0.160 0.691
Ir: 0.500 0.000 0.000
Ir: 0.500 0.500 0.000
Ir: 0.000 0.500 0.000
Er: 0.333 0.667 0.579
Er: 0.000 0.000 0.000
Er: 0.667 0.333 0.421
Ge: 0.000 0.000 0.500
P: 0.333 0.667 0.161
P: 0.667 0.333 0.839

## Properties
energy relative to the elements = -0.41 eV per atom
crystal system = trigonal
symmetry = No. 164



Entry 4:
The following is a PBE calculation of a relaxed Tb5CeNd8 crystal, from Alexandria via LeMat-Bulk.

Unit cell a=9.173 b=8.818 c=9.173 alpha=84.33 beta=125.38 gamma=122.47
Last column: magnetic moment on the atom in μB.
Element x y z (fractional)
Ce: 0.312 0.500 0.812  0.56
Nd: 0.510 0.631 0.235  0.00
Nd: 0.603 0.369 0.879  0.00
Nd: 0.118 0.701 0.051  -0.01
Nd: 0.350 0.299 0.417  -0.01
Nd: 0.894 0.559 0.582  0.01
Nd: 0.023 0.441 0.335  0.01
Nd: 0.984 0.054 0.557  0.01
Nd: 0.503 0.946 0.930  0.01
Tb: 0.963 0.238 0.944  0.00
Tb: 0.369 0.175 0.091  0.00
Tb: 0.706 0.762 0.725  0.00
Tb: 0.500 0.000 0.500  -0.01
Tb: 0.915 0.825 0.194  0.00

## Properties
energy relative to the elements = 0.20 eV per atom
crystal system = monoclinic
symmetry = No. 5



Entry 5:
The following is a PBE calculation of a relaxed ErScZnPt crystal, from Alexandria via LeMat-Bulk.

Unit cell a=4.824 b=4.824 c=4.824 alpha=60.00 beta=60.00 gamma=60.00
Element x y z (fractional)
Pt: 0.750 0.750 0.750
Zn: 0.250 0.250 0.250
Er: 0.000 0.000 0.000
Sc: 0.500 0.500 0.500

## Properties
energy relative to the elements = -0.80 eV per atom
crystal system = cubic
symmetry = No. 216



Entry 6:
The following is a PBE calculation of a relaxed CoGeSb3 crystal, from Alexandria via LeMat-Bulk.

Unit cell a=5.276 b=5.276 c=5.276 alpha=90.00 beta=90.00 gamma=90.00
Last column: magnetic moment on the atom in μB.
Element x y z (fractional)
Ge: 0.000 0.000 0.000  -0.02
Sb: 0.000 0.500 0.000  -0.05
Sb: 0.000 0.000 0.500  -0.05
Sb: 0.500 0.000 0.000  -0.02
Co: 0.500 0.500 0.500  2.05

## Properties
E above lowest polymorph = 818.1 meV/atom
crystal system = cubic
formation energy (no corrections) = 1.254 eV per atom
symmetry = No. 221



Entry 7:
The following is a PBE calculation of a relaxed Dy6Bi3As2Se crystal, from Alexandria via LeMat-Bulk.

Unit cell a=4.273 b=8.618 c=9.610 alpha=103.55 beta=102.85 gamma=90.00
Element x y z (fractional)
Dy: 0.335 0.901 0.670
Dy: 0.328 0.430 0.656
Dy: 0.007 0.244 0.013
Dy: 0.665 0.099 0.330
Dy: 0.672 0.570 0.344
Dy: 0.993 0.756 0.987
As: 0.833 0.668 0.667
As: 0.167 0.332 0.333
Se: 0.500 0.000 0.000
Bi: 0.165 0.833 0.329
Bi: 0.835 0.167 0.671
Bi: 0.500 0.500 0.000

## Properties
crystal system = monoclinic
formation energy (no corrections) = -1.226 eV per atom
symmetry = No. 12



Entry 8:
The following is a PBE calculation of a relaxed CrCd2GaH crystal, from Alexandria via LeMat-Bulk.

Unit cell a=5.463 b=3.341 c=5.463 alpha=90.00 beta=90.00 gamma=90.00
Last column: magnetic moment on the atom in μB.
Element x y z (fractional)
Cd: 0.000 0.000 0.500  0.00
Cd: 0.500 0.000 0.000  0.02
Cr: 0.000 0.000 0.000  3.44
Ga: 0.500 0.500 0.500  -0.06
H: 0.000 0.500 0.000  -0.04

## Properties
E above lowest polymorph = 0.0 meV/atom
crystal system = tetragonal
symmetry = No. 123



Entry 9:
The following is a PBE calculation of a relaxed CrPdW2S crystal, from Alexandria via LeMat-Bulk.

Unit cell a=4.833 b=4.276 c=4.833 alpha=90.00 beta=90.00 gamma=90.00
Last column: magnetic moment on the atom in μB.
Element x y z (fractional)
S: 0.000 0.500 0.000  0.00
W: 0.000 0.000 0.500  0.14
W: 0.500 0.000 0.000  0.18
Pd: 0.000 0.000 0.000  0.02
Cr: 0.500 0.500 0.500  0.00

## Properties
crystal system = tetragonal
formation energy (no corrections) = 2.432 eV per atom
symmetry = No. 123



Entry 10:
The following is a PBE calculation of a relaxed Co2AgMo crystal, from Alexandria via LeMat-Bulk.

Unit cell a=4.898 b=4.898 c=4.541 alpha=73.70 beta=73.70 gamma=31.57
Last column: magnetic moment on the atom in μB.
Element x y z (fractional)
Co: 0.728 0.728 0.726  1.21
Co: 0.025 0.025 0.017  1.01
Ag: 0.265 0.265 0.206  0.01
Mo: 0.482 0.482 0.551  -0.17

## Properties
E above lowest polymorph = 89.6 meV/atom
energy relative to the elements = 0.37 eV per atom
crystal system = monoclinic
symmetry = No. 8



Entry 11:
The following is a PBE calculation of a relaxed HgP2Pb crystal, from Alexandria via LeMat-Bulk.

Unit cell a=5.280 b=5.280 c=5.280 alpha=134.84 beta=112.78 gamma=84.70
Element x y z (fractional)
P: 0.455 0.455 0.000
P: 0.045 0.045 0.000
Pb: 0.750 0.250 0.500
Hg: 0.250 0.750 0.500

## Properties
E above lowest polymorph = 377.5 meV/atom
energy relative to the elements = 0.50 eV per atom
crystal system = orthorhombic
symmetry = No. 71



Entry 12:
The following is a PBE calculation of a relaxed KPI3 crystal, from Alexandria via LeMat-Bulk.

Unit cell a=5.688 b=5.688 c=5.688 alpha=90.00 beta=90.00 gamma=90.00
Element x y z (fractional)
K: 0.500 0.500 0.500
I: 0.000 0.000 0.500
I: 0.000 0.500 0.000
I: 0.500 0.000 0.000
P: 0.000 0.000 0.000

## Properties
E above lowest polymorph = 143.3 meV/atom
crystal system = cubic
formation energy (no corrections) = -0.458 eV per atom
symmetry = No. 221



Entry 13:
The following is a PBE calculation of a relaxed Ag2CN2 crystal, from Alexandria via LeMat-Bulk.

Unit cell a=6.015 b=6.865 c=7.458 alpha=89.48 beta=90.00 gamma=90.00
Element x y z (fractional)
C: 0.288 0.247 0.276
C: 0.788 0.253 0.724
C: 0.212 0.747 0.276
C: 0.712 0.753 0.724
N: 0.634 0.253 0.620
N: 0.543 0.752 0.827
N: 0.134 0.247 0.380
N: 0.866 0.753 0.620
N: 0.366 0.747 0.380
N: 0.457 0.248 0.173
N: 0.043 0.748 0.173
N: 0.957 0.252 0.827
Ag: 0.000 0.000 0.000
Ag: 0.214 0.752 0.691
Ag: 0.500 0.500 0.000
Ag: 0.500 0.000 0.000
Ag: 0.786 0.248 0.309
Ag: 0.000 0.500 0.000
Ag: 0.714 0.748 0.309
Ag: 0.286 0.252 0.691

## Properties
crystal system = monoclinic
formation energy (no corrections) = 0.411 eV per atom
symmetry = No. 14



Entry 14:
The following is a PBE calculation of a relaxed Be2NiRu crystal, from Alexandria via LeMat-Bulk.

Unit cell a=5.833 b=5.833 c=4.833 alpha=52.88 beta=52.88 gamma=90.00
Element x y z (fractional)
Be: 0.875 0.858 0.750
Be: 0.142 0.625 0.250
Be: 0.608 0.125 0.250
Be: 0.375 0.392 0.750
Ni: 0.250 0.750 0.500
Ni: 0.500 0.500 0.000
Ru: 0.000 0.000 0.000
Ru: 0.750 0.250 0.500

## Properties
energy relative to the elements = 0.12 eV per atom
crystal system = tetragonal
symmetry = No. 122



Entry 15:
The following is a PBE calculation of a relaxed Nd2SmHo4Er2 crystal, from Alexandria via LeMat-Bulk.

Unit cell a=6.814 b=9.872 c=6.616 alpha=121.21 beta=126.87 gamma=59.26
Element x y z (fractional)
Sm: 0.000 0.000 0.000
Er: 0.821 0.445 0.036
Er: 0.179 0.555 0.964
Ho: 0.618 0.760 0.507
Ho: 0.739 0.885 0.201
Ho: 0.382 0.240 0.493
Ho: 0.261 0.115 0.799
Nd: 0.730 0.342 0.399
Nd: 0.270 0.658 0.601

## Properties
energy relative to the elements = 0.08 eV per atom
crystal system = triclinic
symmetry = No. 2



Entry 16:
The following is a PBE calculation of a relaxed Rb2LiPrBr6 crystal, from Alexandria via LeMat-Bulk.

Unit cell a=7.983 b=7.983 c=7.983 alpha=60.00 beta=60.00 gamma=60.00
Element x y z (fractional)
Br: 0.743 0.257 0.743
Br: 0.743 0.257 0.257
Br: 0.257 0.743 0.743
Br: 0.257 0.257 0.743
Br: 0.257 0.743 0.257
Br: 0.743 0.743 0.257
Pr: 0.000 0.000 0.000
Li: 0.500 0.500 0.500
Rb: 0.250 0.250 0.250
Rb: 0.750 0.750 0.750

## Properties
E above lowest polymorph = 13.8 meV/atom
crystal system = cubic
formation energy (no corrections) = -1.762 eV per atom
symmetry = No. 225



Entry 17:
The following is a PBE calculation of a relaxed SmHo2Sc6 crystal, from Alexandria via LeMat-Bulk.

Unit cell a=7.805 b=7.805 c=9.663 alpha=90.00 beta=90.00 gamma=90.00
Element x y z (fractional)
Ho: 0.500 0.500 0.333
Ho: 0.000 0.000 0.833
Ho: 0.500 0.500 0.667
Ho: 0.000 0.000 0.167
Sc: 0.738 0.738 0.500
Sc: 0.761 0.239 0.335
Sc: 0.739 0.739 0.835
Sc: 0.761 0.239 0.665
Sc: 0.762 0.238 0.000
Sc: 0.261 0.261 0.835
Sc: 0.739 0.739 0.165
Sc: 0.261 0.261 0.165
Sc: 0.238 0.762 0.000
Sc: 0.239 0.761 0.665
Sc: 0.239 0.761 0.335
Sc: 0.262 0.262 0.500
Sm: 0.500 0.500 0.000
Sm: 0.000 0.000 0.500

## Properties
energy relative to the elements = 0.86 eV per atom
crystal system = tetragonal
symmetry = No. 136



Entry 18:
The following is a PBE calculation of a relaxed Tl4FePt crystal, from Alexandria via LeMat-Bulk.

Unit cell a=6.115 b=6.115 c=6.115 alpha=60.00 beta=60.00 gamma=60.00
Last column: magnetic moment on the atom in μB.
Element x y z (fractional)
Fe: 0.750 0.750 0.750  3.22
Tl: 0.876 0.375 0.375  -0.01
Tl: 0.375 0.375 0.375  -0.01
Tl: 0.375 0.876 0.375  -0.01
Tl: 0.375 0.375 0.876  -0.01
Pt: 0.000 0.000 0.000  0.02

## Properties
energy relative to the elements = 0.91 eV per atom
crystal system = cubic
symmetry = No. 216



Entry 19:
The following is a PBE calculation of a relaxed Tl2TcAs crystal, from Alexandria via LeMat-Bulk.

Unit cell a=3.477 b=5.295 c=5.946 alpha=50.60 beta=90.00 gamma=90.00
Last column: magnetic moment on the atom in μB.
Element x y z (fractional)
Tl: 0.500 0.500 0.000  -0.02
Tl: 0.000 0.000 0.000  -0.01
As: 0.500 0.500 0.500  -0.03
Tc: 0.000 0.000 0.500  0.61

## Properties
E above lowest polymorph = 615.1 meV/atom
energy relative to the elements = 0.73 eV per atom
crystal system = monoclinic
symmetry = No. 10



Entry 20:
The following is a PBE calculation of a relaxed Nd3Cd2Sn crystal, from Alexandria via LeMat-Bulk.

Unit cell a=3.830 b=5.460 c=8.715 alpha=108.26 beta=90.00 gamma=90.00
Element x y z (fractional)
Nd: 0.500 0.500 0.000
Nd: 0.500 0.836 0.671
Nd: 0.500 0.164 0.329
Cd: 0.000 0.675 0.350
Cd: 0.000 0.325 0.650
Sn: 0.000 0.000 0.000

## Properties
energy relative to the elements = -0.46 eV per atom
crystal system = orthorhombic
symmetry = No. 65



We obtain electronic total energy values of -0.3559; -0.5787; -0.5637; -0.3386; -0.3937; -0.2620; -0.4088; -0.2291; -0.4806; -0.4850; -0.2356; -0.1977; -0.4340; -0.4047; -0.3343; -0.2667; -0.3604; -0.2267; -0.3094; -0.2808 Ry per atom for the records listed above, in that order.